Material: TeHRuI2
Method: DFT, PBE-GGA
State: relaxed

crystal system = tetragonal
N(E_F) = 4.06 states/eV per cell
size of the total moment = 0.317 μB/atom
ΔE to the lowest computed polymorph = 0.000 eV per formula unit
space-group type = P4/mmm (123)

```
data_TeHRuI2
_symmetry_space_group_name_H-M 'P 1'
_symmetry_Int_Tables_number 1
_cell_length_a 5.683
_cell_length_b 5.683
_cell_length_c 4.965
_cell_angle_alpha 90.00
_cell_angle_beta 90.00
_cell_angle_gamma 90.00
loop_
_symmetry_equiv_pos_as_xyz
'x,y,z'
loop_
_atom_site_label
_atom_site_type_symbol
_atom_site_fract_x
_atom_site_fract_y
_atom_site_fract_z
I1 I 0.000 0.500 0.000
I2 I 0.500 0.000 0.000
Ru1 Ru 0.000 0.000 0.000
Te1 Te 0.000 0.000 0.500
H1 H 0.500 0.500 0.500
```